This record from Alexandria via LeMat-Bulk describes a relaxed structure of DyBeGa2Pd4. The functional is PBE.

* VASP energy: -5.09 eV/atom
* total moment: 0.0000 μB/atom

Unit cell a=8.4817 b=8.4817 c=8.4817 alpha=29.35 beta=29.35 gamma=29.35
Last column: nearest neighbours and their distance in Å.
Sites, in units of the cell vectors:
1 Dy 0.0000 0.0000 0.0000  8 Pd 3.04-3.29, 6 Ga 3.29
2 Be 0.5000 0.5000 0.5000  2 Pd 2.30
3 Ga 0.2443 0.2443 0.2443  7 Pd 2.51-2.72
4 Ga 0.7557 0.7557 0.7557  7 Pd 2.51-2.72
5 Pd 0.1354 0.1354 0.1354  3 Be 2.60, 4 Ga 2.65-2.72
6 Pd 0.4054 0.4054 0.4054  1 Be 2.30, 3 Ga 2.51
7 Pd 0.5946 0.5946 0.5946  1 Be 2.30, 3 Ga 2.51
8 Pd 0.8646 0.8646 0.8646  3 Be 2.60, 4 Ga 2.65-2.72

=====

This record from Alexandria via LeMat-Bulk describes a relaxed structure of B5C7. The functional is PBE.

* relative energy among the computed polymorphs: 156 meV per atom
* total moment: 0.0000 μB/atom

Unit cell a=4.6464 b=4.6655 c=4.6977 alpha=102.35 beta=103.29 gamma=119.68
Last column: nearest neighbours and their distance in Å.
Sites, in units of the cell vectors:
1 B 0.0000 0.0000 0.0000  2 C 1.57-1.61, 1 B 1.70
2 B 0.0501 0.6774 0.0576  2 C 1.62-1.68, 2 B 1.70-1.81
3 B 0.5192 0.1602 0.5232  3 C 1.62-1.69
4 B 0.6185 0.2699 0.9576  2 C 1.60-1.61
5 B 0.8336 0.8042 0.4934  3 C 1.59-1.62
6 C 0.1406 0.7608 0.4449  1 C 1.56, 3 B 1.59-1.69
7 C 0.1889 0.4928 0.5616  4 C 1.54-1.57
8 C 0.3225 0.6256 0.9264  3 C 1.51-1.55, 1 B 1.62
9 C 0.3535 0.3586 0.0557  2 C 1.55-1.64, 2 B 1.57-1.61
10 C 0.4568 0.4491 0.4362  2 C 1.57-1.64, 2 B 1.61-1.62
11 C 0.6735 0.9927 0.0673  2 C 1.51-1.55, 2 B 1.60-1.61
12 C 0.8230 0.1298 0.4337  2 C 1.54-1.55, 2 B 1.62

=====

This record from Alexandria via LeMat-Bulk describes a relaxed structure of Sc3HgO. The functional is PBE.

* relative energy among the computed polymorphs: 137 meV per atom
* total moment: 0.0000 μB/atom
* uncorrected formation energy: -1.356 eV/atom

Unit cell a=6.1640 b=6.1640 c=7.7152 alpha=108.70 beta=108.70 gamma=43.92
Last column: nearest neighbours and their distance in Å.
Sites, in units of the cell vectors:
1 Sc 0.0000 0.0000 0.0000  2 O 2.10
2 Sc 0.0000 0.0000 0.5000  4 Hg 2.97
3 Sc 0.2700 0.2700 0.3798  1 O 2.09
4 Sc 0.2891 0.2891 0.9036  3 O 2.07-2.31
5 Sc 0.7109 0.7109 0.0964  3 O 2.07-2.31
6 Sc 0.7300 0.7300 0.6202  1 O 2.09
7 Hg 0.4840 0.4840 0.7331  8 Sc 2.95-3.22
8 Hg 0.5160 0.5160 0.2669  8 Sc 2.95-3.22
9 O 0.1960 0.1960 0.0910  5 Sc 2.07-2.31
10 O 0.8040 0.8040 0.9090  5 Sc 2.07-2.31

=====

This record from Alexandria via LeMat-Bulk describes a relaxed structure of PaGeS6. The functional is PBE.

* total moment: 0.0000 μB/atom
* uncorrected formation energy: -0.604 eV/atom

Unit cell a=4.7674 b=5.6158 c=6.5057 alpha=100.63 beta=91.25 gamma=98.44
Last column: nearest neighbours and their distance in Å.
Sites, in units of the cell vectors:
1 Pa 0.0000 0.0000 0.0000  8 S 2.71-2.97
2 Ge 0.5000 0.5000 0.5000  6 S 2.49-2.58
3 S 0.1249 0.2485 0.6859  1 S 2.05
4 S 0.1600 0.5209 0.2103  1 S 2.05
5 S 0.4723 0.8604 0.7822  1 Ge 2.49
6 S 0.5277 0.1396 0.2178  1 Ge 2.49
7 S 0.8400 0.4791 0.7897  1 S 2.05
8 S 0.8751 0.7515 0.3141  1 S 2.05

=====

This record from Alexandria via LeMat-Bulk describes a relaxed structure of TaRuSe. The functional is PBE.

* relative energy among the computed polymorphs: 292 meV per atom
* total moment: 0.0000 μB/atom
* uncorrected formation energy: 0.030 eV/atom

Unit cell a=4.6625 b=4.6625 c=4.6625 alpha=141.04 beta=128.52 gamma=66.40
Last column: nearest neighbours and their distance in Å.
Sites, in units of the cell vectors:
1 Ta 0.0000 0.0000 0.0000  5 Se 2.59-2.87, 5 Ru 2.66-2.84
2 Ru 0.6597 0.6597 0.0000  1 Se 2.56, 5 Ta 2.66-2.84
3 Se 0.3318 0.3318 0.0000  1 Ru 2.56, 1 Ta 2.59

=====

This record from Alexandria via LeMat-Bulk describes a relaxed structure of Y3Mg3N. The functional is PBE.

* total moment: 0.0000 μB/atom
* uncorrected formation energy: -0.513 eV/atom

Unit cell a=9.6298 b=9.6298 c=9.6298 alpha=60.00 beta=60.00 gamma=60.00
Last column: nearest neighbours and their distance in Å.
Sites, in units of the cell vectors:
1 Y 0.0553 0.0553 0.6947  2 N 2.52
2 Y 0.0553 0.6947 0.0553  2 N 2.52
3 Y 0.0553 0.6947 0.6947  2 N 2.52
4 Y 0.3053 0.3053 0.9447  2 N 2.52
5 Y 0.3053 0.9447 0.3053  2 N 2.52
6 Y 0.3053 0.9447 0.9447  2 N 2.52
7 Y 0.6947 0.0553 0.0553  2 N 2.52
8 Y 0.6947 0.0553 0.6947  2 N 2.52
9 Y 0.6947 0.6947 0.0553  2 N 2.52
10 Y 0.9447 0.3053 0.3053  2 N 2.52
11 Y 0.9447 0.3053 0.9447  2 N 2.52
12 Y 0.9447 0.9447 0.3053  2 N 2.52
13 Mg 0.0000 0.5000 0.5000  6 Mg 2.93
14 Mg 0.2945 0.2945 0.2945  6 Mg 2.93-3.10, 3 Y 3.27
15 Mg 0.2945 0.2945 0.6165  6 Mg 2.93-3.10, 3 Y 3.27
16 Mg 0.2945 0.6165 0.2945  6 Mg 2.93-3.10, 3 Y 3.27
17 Mg 0.3835 0.7055 0.7055  6 Mg 2.93-3.10, 3 Y 3.27
18 Mg 0.5000 0.0000 0.5000  6 Mg 2.93
19 Mg 0.5000 0.5000 0.0000  6 Mg 2.93
20 Mg 0.5000 0.5000 0.5000  6 Mg 2.93
21 Mg 0.6165 0.2945 0.2945  6 Mg 2.93-3.10, 3 Y 3.27
22 Mg 0.7055 0.3835 0.7055  6 Mg 2.93-3.10, 3 Y 3.27
23 Mg 0.7055 0.7055 0.3835  6 Mg 2.93-3.10, 3 Y 3.27
24 Mg 0.7055 0.7055 0.7055  6 Mg 2.93-3.10, 3 Y 3.27
25 N 0.0000 0.0000 0.0000  6 Y 2.52
26 N 0.0000 0.0000 0.5000  6 Y 2.52
27 N 0.0000 0.5000 0.0000  6 Y 2.52
28 N 0.5000 0.0000 0.0000  6 Y 2.52

=====

This record from Alexandria via LeMat-Bulk describes a relaxed structure of Ce2ScIn2Ag2. The functional is PBE.

* VASP energy: -4.40 eV/atom
* total moment: 0.2723 μB/atom

Unit cell a=8.8863 b=8.8863 c=8.8863 alpha=30.96 beta=30.96 gamma=30.96
Last column: nearest neighbours and their distance in Å.
Sites, in units of the cell vectors:
1 Ce 0.1383 0.1383 0.1383  3 Ce 3.09, 3 Ag 3.35, 4 In 3.35-3.37
2 Ce 0.8617 0.8617 0.8617  3 Ce 3.09, 3 Ag 3.35, 4 In 3.35-3.37
3 Sc 0.0000 0.0000 0.0000  6 In 3.16, 6 Ag 3.16, 2 Ce 3.51
4 In 0.2713 0.2713 0.2713  3 Ag 2.74
5 In 0.7287 0.7287 0.7287  3 Ag 2.74
6 Ag 0.3958 0.3958 0.3958  3 In 2.74
7 Ag 0.6042 0.6042 0.6042  3 In 2.74

=====

This record from Alexandria via LeMat-Bulk describes a relaxed structure of La6AsP3Se2. The functional is PBE.

* total moment: 0.0000 μB/atom
* uncorrected formation energy: -1.782 eV/atom

Unit cell a=9.6440 b=9.6440 c=8.6296 alpha=103.31 beta=103.31 gamma=25.75
Last column: nearest neighbours and their distance in Å.
Sites, in units of the cell vectors:
1 La 0.0028 0.0028 0.2477  3 P 3.01-3.02, 2 As 3.07, 1 Se 3.12
2 La 0.3321 0.3321 0.4261  3 P 2.99-3.01, 1 As 3.07, 2 Se 3.12
3 La 0.3375 0.3375 0.9076  3 P 2.97, 3 Se 3.11
4 La 0.6625 0.6625 0.0924  3 P 2.97, 3 Se 3.11
5 La 0.6679 0.6679 0.5739  3 P 2.99-3.01, 1 As 3.07, 2 Se 3.12
6 La 0.9972 0.9972 0.7523  3 P 3.01-3.02, 2 As 3.07, 1 Se 3.12
7 As 0.5000 0.5000 0.5000  6 La 3.07
8 P 0.1675 0.1675 0.3326  6 La 2.97-3.01
9 P 0.5000 0.5000 0.0000  6 La 2.97-3.02
10 P 0.8325 0.8325 0.6674  6 La 2.97-3.01
11 Se 0.1677 0.1677 0.8353  6 La 3.11-3.12
12 Se 0.8323 0.8323 0.1647  6 La 3.11-3.12

=====

Which value of total moment does entry 3 give? 0.0000 μB/atom

=====

Repeat the second record exactly.
This record from Alexandria via LeMat-Bulk describes a relaxed structure of B5C7. The functional is PBE.

* relative energy among the computed polymorphs: 156 meV per atom
* total moment: 0.0000 μB/atom

Unit cell a=4.6464 b=4.6655 c=4.6977 alpha=102.35 beta=103.29 gamma=119.68
Last column: nearest neighbours and their distance in Å.
Sites, in units of the cell vectors:
1 B 0.0000 0.0000 0.0000  2 C 1.57-1.61, 1 B 1.70
2 B 0.0501 0.6774 0.0576  2 C 1.62-1.68, 2 B 1.70-1.81
3 B 0.5192 0.1602 0.5232  3 C 1.62-1.69
4 B 0.6185 0.2699 0.9576  2 C 1.60-1.61
5 B 0.8336 0.8042 0.4934  3 C 1.59-1.62
6 C 0.1406 0.7608 0.4449  1 C 1.56, 3 B 1.59-1.69
7 C 0.1889 0.4928 0.5616  4 C 1.54-1.57
8 C 0.3225 0.6256 0.9264  3 C 1.51-1.55, 1 B 1.62
9 C 0.3535 0.3586 0.0557  2 C 1.55-1.64, 2 B 1.57-1.61
10 C 0.4568 0.4491 0.4362  2 C 1.57-1.64, 2 B 1.61-1.62
11 C 0.6735 0.9927 0.0673  2 C 1.51-1.55, 2 B 1.60-1.61
12 C 0.8230 0.1298 0.4337  2 C 1.54-1.55, 2 B 1.62

=====

Number 8 is which compound? La6AsP3Se2